GGA-PBE AcGaH, optimized geometry; total magnetization = 0.1 Bohr magnetons per cell; energy above the most stable polymorph in this dataset = 1.056 eV per formula unit; total DFT energy (no corrections) = -11.18 eV for the cell shown; space group = P3m1 (156)
1.0
4.098 0.000 0.000
-2.049 3.549 0.000
0.000 0.000 5.000
Ac Ga H
1 1 1
Direct
0.000 0.000 0.000 Ac
0.667 0.333 0.500 Ga
0.333 0.667 0.001 H


GGA-PBE Pm5PrTe8, optimized geometry; E_form (uncorrected) = -1.42 eV per atom; total magnetization = 0.0 Bohr magnetons per cell; total DFT energy (no corrections) = -73.52 eV for the cell shown; space group = I-4 (82)
1.0
-4.828 4.828 4.661
4.828 -4.828 4.661
4.828 4.828 -4.661
Pm Pr Te
5 1 8
Direct
0.000 0.000 0.000 Pm
0.224 0.126 0.600 Pm
0.376 0.776 0.902 Pm
0.526 0.624 0.400 Pm
0.874 0.474 0.098 Pm
0.750 0.250 0.500 Pr
0.124 0.379 0.393 Te
0.132 0.375 0.898 Te
0.269 0.876 0.255 Te
0.477 0.234 0.102 Te
0.621 0.014 0.745 Te
0.625 0.523 0.756 Te
0.766 0.868 0.244 Te
0.986 0.731 0.607 Te


GGA-PBE CeTm2ScAs4, optimized geometry; total magnetization = 0.5 Bohr magnetons per cell; total DFT energy (no corrections) = -51.26 eV for the cell shown; energy of formation = -138.1 kJ per mole of atoms; space group = P2/m (10)
1.0
7.012 0.000 0.000
0.000 4.065 0.000
-2.336 0.000 6.634
Ce Tm Sc As
1 2 1 4
Direct
0.000 0.000 0.000 Ce
0.000 0.500 0.500 Tm
0.500 0.000 0.500 Tm
0.500 0.500 0.000 Sc
0.259 0.000 0.755 As
0.259 0.500 0.252 As
0.741 0.000 0.245 As
0.741 0.500 0.748 As


GGA-PBE PdCSF2, optimized geometry; E_form (uncorrected) = 0.81 eV per atom; total magnetization = 1.2 Bohr magnetons per cell; total DFT energy (no corrections) = -18.24 eV for the cell shown; space group = P4/mmm (123)
1.0
3.734 0.000 0.000
0.000 3.734 0.000
0.000 0.000 4.967
Pd C S F
1 1 1 2
Direct
0.000 0.000 0.000 Pd
0.500 0.500 0.000 C
0.000 0.000 0.500 S
0.000 0.500 0.500 F
0.500 0.000 0.500 F


GGA-PBE TbPrYIn, optimized geometry; total magnetization = 1.6 Bohr magnetons per cell; total DFT energy (no corrections) = -19.04 eV for the cell shown; energy of formation = -10.2 kJ per mole of atoms; space group = F-43m (216)
1.0
0.000 3.906 3.906
3.906 0.000 3.906
3.906 3.906 0.000
Tb Pr Y In
1 1 1 1
Direct
0.000 0.000 0.000 Tb
0.250 0.250 0.250 Pr
0.500 0.500 0.500 Y
0.750 0.750 0.750 In


GGA-PBE RbLa2MgOs, optimized geometry; total magnetization = 0.0 Bohr magnetons per cell; total DFT energy (no corrections) = -23.11 eV for the cell shown; energy of formation = 10.4 kJ per mole of atoms; space group = P4/mmm (123)
1.0
5.608 0.000 0.000
0.000 5.608 0.000
0.000 0.000 5.598
Rb La Mg Os
1 2 1 1
Direct
0.000 0.000 0.000 Rb
0.000 0.500 0.500 La
0.500 0.000 0.500 La
0.500 0.500 0.000 Mg
0.500 0.500 0.500 Os


GGA-PBE NbNi2Ge, optimized geometry; total magnetization = 0.0 Bohr magnetons per cell; total DFT energy (no corrections) = -54.87 eV for the cell shown; energy of formation = -28.6 kJ per mole of atoms; space group = R3m (160)
1.0
2.015 1.163 7.850
-2.015 1.163 7.850
0.000 -2.327 7.850
Nb Ni Ge
2 4 2
Direct
0.000 0.000 0.000 Nb
0.137 0.137 0.137 Nb
0.251 0.251 0.251 Ni
0.517 0.517 0.517 Ni
0.621 0.621 0.621 Ni
0.723 0.723 0.723 Ni
0.408 0.408 0.408 Ge
0.882 0.882 0.882 Ge


GGA-PBE CrFeOs2, optimized geometry; total magnetization = 0.8 Bohr magnetons per cell; total DFT energy (no corrections) = -40.27 eV for the cell shown; energy of formation = 6.6 kJ per mole of atoms; space group = P4/mmm (123)
1.0
3.776 0.000 0.000
0.000 3.776 0.000
0.000 0.000 3.655
Cr Fe Os
1 1 2
Direct
0.000 0.000 0.000 Cr
0.500 0.500 0.000 Fe
0.000 0.500 0.500 Os
0.500 0.000 0.500 Os


GGA-PBE KSrPb2, optimized geometry; total magnetization = 0.0 Bohr magnetons per cell; energy above the most stable polymorph in this dataset = 0.234 eV per formula unit; total DFT energy (no corrections) = -11.21 eV for the cell shown; energy of formation = -24.4 kJ per mole of atoms; space group = Fm-3m (225)
1.0
0.000 4.153 4.153
4.153 0.000 4.153
4.153 4.153 0.000
K Sr Pb
1 1 2
Direct
0.000 0.000 0.000 K
0.500 0.500 0.500 Sr
0.250 0.250 0.250 Pb
0.750 0.750 0.750 Pb